Here is an optimized crystal structure of NbWO2 from the Alexandria database. Energies are from PBE with a Hubbard U.

```
NbWO2
1.0
-2.0187 2.0187 6.3921
2.0187 -2.0187 6.3921
2.0187 2.0187 -6.3921
Nb W O
2 2 4
Direct
0.0000 0.0000 0.0000
0.7500 0.2500 0.5000
0.2500 0.7500 0.5000
0.5000 0.5000 0.0000
0.1377 0.6250 0.0127
0.3750 0.3877 0.5127
0.6123 0.1250 0.9873
0.8750 0.8623 0.4873
```

Computed properties:
Raw total energy, eV/atom: -7.692